1.
VASP calculation (PBE-GGA) on crystalline Sr2TaRu at its relaxed geometry.

a = 10.7314 Å, b = 10.7314 Å, c = 10.7314 Å
α = 17.52°, β = 17.52°, γ = 17.52°
With the nearest neighbours (Å) after each atom.
Element x y z (fractional)
1 Ta 0.2500 0.2500 0.2500  6 Ta 3.27, 6 Sr 3.52
2 Sr 0.0104 0.0104 0.0104  3 Ru 2.98, 6 Sr 3.27
3 Sr 0.4896 0.4896 0.4896  3 Ru 2.98, 6 Sr 3.27
4 Ru 0.7500 0.7500 0.7500  6 Sr 2.98, 6 Ru 3.27

Total energy   -5.045 eV per atom
Energy relative to the lowest polymorph listed for this composition   0.853 eV per atom
Crystal system   trigonal
DFT formation energy   1078 meV per atom
D(E_F)   4.52 states/eV per cell

---

2.
VASP calculation (PBE-GGA) on crystalline SrTa3Ru at its relaxed geometry.

a = 4.9391 Å, b = 4.9391 Å, c = 4.9391 Å
α = 90.00°, β = 90.00°, γ = 90.00°
With the nearest neighbours (Å) after each atom.
Element x y z (fractional)
1 Ta 0.5000 0.0000 0.0000  2 Ru 2.47
2 Sr 0.5000 0.5000 0.5000  12 Ta 3.49
3 Ru 0.0000 0.0000 0.0000  6 Ta 2.47
4 Ta 0.0000 0.0000 0.5000  2 Ru 2.47
5 Ta 0.0000 0.5000 0.0000  2 Ru 2.47

Total energy   -8.361 eV per atom
Energy relative to the lowest polymorph listed for this composition   0.000 eV per atom
Crystal system   cubic
DFT formation energy   942 meV per atom
D(E_F)   8.15 states/eV per cell

---

3.
VASP calculation (PBE-GGA) on crystalline SrTaRu at its relaxed geometry.

a = 4.1768 Å, b = 4.1768 Å, c = 5.4506 Å
α = 90.00°, β = 90.00°, γ = 120.00°
With the nearest neighbours (Å) after each atom.
Element x y z (fractional)
1 Ta 0.6667 0.3333 0.8401  3 Ru 2.41
2 Ru 0.0000 0.0000 0.8224  3 Ta 2.41
3 Sr 0.3333 0.6667 0.3375  6 Ru 3.58-3.70, 6 Ta 3.63-3.65

Total energy   -7.194 eV per atom
Energy relative to the lowest polymorph listed for this composition   0.151 eV per atom
Crystal system   trigonal
DFT formation energy   409 meV per atom
D(E_F)   2.43 states/eV per cell

---

4.
VASP calculation (PBE-GGA) on crystalline Sr2TaRu at its relaxed geometry.

a = 3.1764 Å, b = 5.1836 Å, c = 5.7698 Å
α = 90.00°, β = 90.00°, γ = 90.00°
With the nearest neighbours (Å) after each atom.
Element x y z (fractional)
1 Ta 0.5000 0.5000 0.2500  2 Ru 2.88, 2 Ta 3.18
2 Sr 0.0000 0.0000 0.5071  2 Sr 2.80-2.97
3 Sr 0.0000 0.0000 0.9929  2 Sr 2.80-2.97
4 Ru 0.5000 0.5000 0.7500  2 Ta 2.88, 2 Ru 3.18

Total energy   -5.113 eV per atom
Energy relative to the lowest polymorph listed for this composition   0.785 eV per atom
Crystal system   orthorhombic
DFT formation energy   1010 meV per atom
D(E_F)   5.28 states/eV per cell

---

5.
VASP calculation (PBE-GGA) on crystalline SrTaRu at its relaxed geometry.

a = 4.6456 Å, b = 4.6456 Å, c = 4.6456 Å
α = 60.00°, β = 60.00°, γ = 60.00°
With the nearest neighbours (Å) after each atom.
Element x y z (fractional)
1 Ta 0.5000 0.5000 0.5000  4 Ru 2.84
2 Ru 0.7500 0.7500 0.7500  4 Ta 2.84, 4 Sr 2.84
3 Sr 0.0000 0.0000 0.0000  4 Ru 2.84

Total energy   -6.791 eV per atom
Energy relative to the lowest polymorph listed for this composition   0.554 eV per atom
Crystal system   cubic
DFT formation energy   812 meV per atom
D(E_F)   3.74 states/eV per cell

---

6.
VASP calculation (PBE-GGA) on crystalline SrTaTlRu2 at its relaxed geometry.

a = 4.7183 Å, b = 5.4128 Å, c = 4.7183 Å
α = 90.00°, β = 90.00°, γ = 90.00°
With the nearest neighbours (Å) after each atom.
Element x y z (fractional)
1 Ta 0.5000 0.5000 0.5000  4 Tl 3.34, 8 Ru 3.59
2 Ru 0.0000 0.0000 0.5000  2 Sr 2.36
3 Tl 0.0000 0.5000 0.0000  2 Sr 2.71
4 Ru 0.5000 0.0000 0.0000  2 Sr 2.36
5 Sr 0.0000 0.0000 0.0000  4 Ru 2.36

Total energy   -4.404 eV per atom
Crystal system   tetragonal
DFT formation energy   2487 meV per atom
D(E_F)   6.64 states/eV per cell

---

7.
VASP calculation (PBE-GGA) on crystalline Sr2TaRuW at its relaxed geometry.

a = 5.8380 Å, b = 5.8380 Å, c = 4.5332 Å
α = 90.00°, β = 90.00°, γ = 90.00°
With the nearest neighbours (Å) after each atom.
Element x y z (fractional)
1 Ta 0.5000 0.5000 0.5000  8 Sr 3.70, 4 Ru 4.13
2 W 0.0000 0.0000 0.0000  2 Ru 2.27
3 Ru 0.0000 0.0000 0.5000  2 W 2.27
4 Sr 0.0000 0.5000 0.0000  2 W 2.92
5 Sr 0.5000 0.0000 0.0000  2 W 2.92

Total energy   -5.517 eV per atom
Crystal system   tetragonal
DFT formation energy   1972 meV per atom
D(E_F)   10.11 states/eV per cell

---

8.
VASP calculation (PBE-GGA) on crystalline SrTb3Ru at its relaxed geometry.

a = 5.5102 Å, b = 5.5102 Å, c = 5.5102 Å
α = 90.00°, β = 90.00°, γ = 90.00°
With the nearest neighbours (Å) after each atom.
Element x y z (fractional)
1 Ru 0.0000 0.0000 0.0000  6 Tb 2.76
2 Sr 0.5000 0.5000 0.5000  12 Tb 3.90
3 Tb 0.5000 0.0000 0.0000  2 Ru 2.76
4 Tb 0.0000 0.5000 0.0000  2 Ru 2.76
5 Tb 0.0000 0.0000 0.5000  2 Ru 2.76

Total energy   -5.102 eV per atom
Crystal system   cubic
DFT formation energy   -133 meV per atom
D(E_F)   3.04 states/eV per cell